Record 1
## In2FeMo (GGA-PBE)

Data for crystalline In2FeMo at its relaxed geometry. Values from VASP.

Geometry as Quantum ESPRESSO input:
```
&SYSTEM
  ibrav = 0, nat = 12, ntyp = 3
/
ATOMIC_SPECIES
In 114.82 In.upf
Fe 55.84 Fe.upf
Mo 95.94 Mo.upf
ATOMIC_POSITIONS angstrom
In 0.000 0.000 6.781
In 0.000 0.000 20.715
In 0.000 1.732 11.550
In 0.000 1.732 25.112
In 1.500 0.866 2.384
In 1.500 0.866 15.946
Fe 0.000 0.000 13.748
Fe 0.000 1.732 4.583
Fe 1.500 0.866 22.913
Mo 0.000 0.000 0.000
Mo 0.000 1.732 18.331
Mo 1.500 0.866 9.165
CELL_PARAMETERS angstrom
3.000 0.000 0.000
-1.500 2.598 0.000
0.000 0.000 27.496
```

Computed properties:
Offset from the most stable computed form (meV per atom): 197
N(E_F) (states/eV/f.u.): 2.1
Formation energy (eV per formula unit): 1.748
Crystal system: trigonal

***

Record 2
## LiFeTe2 (GGA-PBE)

Data for crystalline LiFeTe2 at its relaxed geometry. Values from VASP.

Geometry as Quantum ESPRESSO input:
```
&SYSTEM
  ibrav = 0, nat = 4, ntyp = 3
/
ATOMIC_SPECIES
Li 6.94 Li.upf
Fe 55.84 Fe.upf
Te 127.60 Te.upf
ATOMIC_POSITIONS angstrom
Li 0.000 0.000 0.000
Fe 1.463 0.000 3.762
Te 0.857 1.907 5.530
Te 2.068 1.907 1.994
CELL_PARAMETERS angstrom
3.214 0.000 0.000
0.000 3.815 0.000
-0.288 0.000 7.524
```

Computed properties:
E_form (uncorrected) (eV per atom): -0.063
N(E_F) (states/eV/f.u.): 3.3
Crystal system: monoclinic

***

Record 3
## AlAg2Hg2 (GGA-PBE)

Data for crystalline AlAg2Hg2 at its relaxed geometry. Values from VASP.

Geometry as Quantum ESPRESSO input:
```
&SYSTEM
  ibrav = 0, nat = 10, ntyp = 3
/
ATOMIC_SPECIES
Al 26.98 Al.upf
Ag 107.87 Ag.upf
Hg 200.59 Hg.upf
ATOMIC_POSITIONS angstrom
Al 0.000 0.000 0.000
Al 1.947 1.947 7.306
Ag 0.000 1.947 3.653
Ag 0.000 1.947 10.958
Ag 1.947 0.000 3.653
Ag 1.947 0.000 10.958
Hg 0.000 0.000 5.861
Hg 0.000 0.000 8.750
Hg 1.947 1.947 1.444
Hg 1.947 1.947 13.167
CELL_PARAMETERS angstrom
3.894 0.000 0.000
0.000 3.894 0.000
0.000 0.000 14.611
```

Computed properties:
Offset from the most stable computed form (meV per atom): 57
N(E_F) (states/eV/f.u.): 2.0
Formation energy (eV per formula unit): 1.171
Crystal system: tetragonal